This record from Alexandria via LeMat-Bulk describes a relaxed structure of Zn2FeTc. The functional is PBE.

## Properties
ρ   8.65 g/cm³
Total magnetic moment   3.09 μB per formula unit
Distance to the lowest polymorph of the same formula   103 meV per atom
ΔE_f   0.11 eV/atom

a b c (Å): 4.026 2.577 6.037
angles (deg): 60.77 90.00 90.00
Each line ends with the local moment (μB).
Fractional coordinates of all 4 atoms:
Fe 0.500 0.250 0.250  2.59
Tc 0.500 0.750 0.750  0.51
Zn 0.000 0.983 0.005  -0.03
Zn 0.000 0.517 0.495  -0.03